A plane-wave DFT calculation with GGA-PBE was carried out for crystalline Lu3BiS2 at its relaxed geometry.

Unit cell a=3.996 b=3.996 c=9.793 alpha=90.00 beta=90.00 gamma=120.00
Atoms (fractional coordinates):
Lu  0.000  0.000  0.000
Lu  0.333  0.667  0.704
Lu  0.667  0.333  0.296
Bi  0.000  0.000  0.500
S  0.333  0.667  0.151
S  0.667  0.333  0.849

Properties
uncorrected energy	-0.2111	hartree per atom
calculated density	9.79	g cm⁻³